Here is a relaxed structure of NdPdNO from OQMD. Energies are from GGA-PBE.

abc: 4.9672 4.9672 4.6027
angles: 90.00 90.00 90.00
Fractional positions:
Nd1 0.0000 0.0000 0.5000
Nd2 0.5000 0.5000 0.5000
Pd1 0.5000 0.0000 0.0009
Pd2 0.0000 0.5000 0.9991
N1 0.5000 0.0000 0.5042
N2 0.0000 0.5000 0.4958
O1 0.5000 0.5000 0.0000
O2 0.0000 0.0000 0.0000

Values from the calculation:
Its electronic total energy is -53.639 eV/cell. Its space group is No. 129. The calculation puts the spin magnetization at 0.0 Bohr magnetons per cell.